Entry P
DFT (SCAN) results for CaAgCl2 at its PBEsol-relaxed geometry.

Unit cell a=4.9108 b=4.9108 c=4.9108 alpha=60.00 beta=60.00 gamma=60.00
Last column: nearest neighbours and their distance in Å.
Fractional positions:
Cl 0.2500 0.2500 0.2500  4 Ag 3.01, 4 Ca 3.01
Cl 0.7500 0.7500 0.7500  4 Ca 3.01, 4 Ag 3.01
Ca 0.5000 0.5000 0.5000  8 Cl 3.01
Ag 0.0000 0.0000 0.0000  8 Cl 3.01

Computed properties:
density of states at the Fermi level = 0.88 states/eV per atom
crystal system = cubic

=====

Entry Q
DFT (SCAN) results for CaAgCl2 at its PBEsol-relaxed geometry.

Unit cell a=3.9726 b=5.1917 c=5.9037 alpha=116.08 beta=109.66 gamma=90.00
Last column: nearest neighbours and their distance in Å.
Fractional positions:
Cl 0.3237 0.3237 0.6474  2 Ca 2.64
Cl 0.6763 0.6763 0.3526  2 Ca 2.64
Ca 0.0000 0.5000 0.0000  4 Cl 2.64
Ag 0.5000 0.0000 0.0000  4 Cl 3.12, 4 Ca 3.27

Computed properties:
density of states at the Fermi level = 0.33 states/eV per atom
crystal system = orthorhombic

=====

Relative stability in kJ/mol of atoms, measured from the most stable structure: entry P 2.2; entry Q 0.0